1.
The following is a DFT calculation (PBEsol) of a geometry-optimized AlAuSe2Br structure.

Cell and atoms, written as extended XYZ:
```
5
Lattice="5.033 0.000 0.000 0.000 5.033 0.000 0.000 0.000 5.152" Properties=species:S:1:pos:R:3 pbc="T T T"
Al 0.000 0.000 0.000
Au 2.517 2.517 2.576
Se 0.000 2.517 2.576
Se 2.517 0.000 2.576
Br 2.517 2.517 0.000
```

Calculated values
Space-group type   P4/mmm, No. 123
Spin magnetization   0.00 μB per formula unit
Energy relative to the elements, uncorrected   412 meV/atom


2.
The following is a DFT calculation (PBEsol) of a geometry-optimized Tl2CuSi structure.

Cell and atoms, written as extended XYZ:
```
4
Lattice="1.724 0.995 8.024 -1.724 0.995 8.024 0.000 -1.991 8.024" Properties=species:S:1:pos:R:3 pbc="T T T"
Tl 0.000 0.000 5.893
Tl 0.000 0.000 18.179
Cu 0.000 0.000 12.036
Si 0.000 0.000 0.000
```

Calculated values
Space-group type   R-3m, No. 166
Spin magnetization   0.00 μB per formula unit
Energy above the lowest structure with this stoichiometry   0.219 eV per atom
Energy relative to the elements, uncorrected   464 meV/atom